# 1
{"formula": "Ac2TlBiPd6", "functional": "GGA-PBE", "state": "relaxed", "lattice": [[-1.610, -5.463, -4.435], [5.271, -3.950, 2.953], [-1.466, -6.531, 2.703]], "species": ["Ac", "Ac", "Tl", "Bi", "Pd", "Pd", "Pd", "Pd", "Pd", "Pd"], "frac_coords": [[0.250, 0.750, 0.500], [0.750, 0.250, 0.500], [0.500, 0.500, 0.000], [0.000, 0.000, 0.000], [0.249, 0.751, 0.000], [0.751, 0.751, 0.000], [0.249, 0.249, 0.501], [0.751, 0.249, 0.000], [0.249, 0.249, 0.000], [0.751, 0.751, 0.499]]}

# 2
{"formula": "Ac2TlBi3Pd4", "functional": "GGA-PBE", "state": "relaxed", "lattice": [[4.814, 0.000, 0.000], [0.000, 4.814, 0.000], [0.000, 0.000, 11.143]], "species": ["Ac", "Ac", "Tl", "Bi", "Bi", "Bi", "Pd", "Pd", "Pd", "Pd"], "frac_coords": [[0.500, 0.000, 0.235], [0.000, 0.500, 0.765], [0.500, 0.500, 0.500], [0.000, 0.000, 0.500], [0.500, 0.000, 0.873], [0.000, 0.500, 0.127], [0.500, 0.500, 0.000], [0.000, 0.000, 0.000], [0.500, 0.000, 0.632], [0.000, 0.500, 0.368]]}

# 3
{"formula": "AcTl2Bi2Pd7", "functional": "GGA-PBE", "state": "relaxed", "lattice": [[-2.233, 2.541, -2.418], [-1.776, -3.289, -1.821], [-12.861, -0.021, 9.628]], "species": ["Ac", "Tl", "Tl", "Bi", "Bi", "Pd", "Pd", "Pd", "Pd", "Pd", "Pd", "Pd"], "frac_coords": [[0.000, 0.000, 0.000], [0.888, 0.888, 0.410], [0.112, 0.112, 0.590], [0.584, 0.584, 0.745], [0.416, 0.416, 0.255], [0.500, 0.500, 0.000], [0.391, 0.391, 0.427], [0.609, 0.609, 0.573], [0.953, 0.454, 0.142], [0.454, 0.953, 0.142], [0.546, 0.047, 0.858], [0.047, 0.546, 0.858]]}

# 4
{"formula": "AcTmBiPd", "functional": "GGA-PBE", "state": "relaxed", "lattice": [[-1.667, -4.989, 1.413], [0.929, -1.857, 5.035], [-4.140, -0.602, 3.487]], "species": ["Ac", "Tm", "Bi", "Pd"], "frac_coords": [[0.750, 0.750, 0.750], [0.250, 0.250, 0.250], [0.500, 0.500, 0.500], [0.000, 0.000, 0.000]]}

# 5
{"formula": "AcYBiPd", "functional": "GGA-PBE", "state": "relaxed", "lattice": [[5.476, 0.000, 0.000], [2.738, 4.743, 0.000], [2.738, 1.581, 4.471]], "species": ["Y", "Ac", "Bi", "Pd"], "frac_coords": [[0.000, 0.000, 0.000], [0.500, 0.500, 0.500], [0.750, 0.750, 0.750], [0.250, 0.250, 0.250]]}

# 6
{"formula": "AcZnBiPd", "functional": "GGA-PBE", "state": "relaxed", "lattice": [[-3.366, 3.505, -1.894], [-2.567, -0.980, -4.433], [-5.122, -0.976, 0.114]], "species": ["Zn", "Ac", "Bi", "Pd"], "frac_coords": [[0.500, 0.500, 0.500], [0.250, 0.250, 0.250], [0.750, 0.750, 0.750], [0.000, 0.000, 0.000]]}

# 7
{"formula": "AcPm5Bi6", "functional": "GGA-PBE", "state": "relaxed", "lattice": [[-1.585, 7.196, -3.180], [-3.483, -0.943, -7.167], [-7.990, -0.503, -0.542]], "species": ["Ac", "Bi", "Bi", "Bi", "Bi", "Bi", "Bi", "Pm", "Pm", "Pm", "Pm", "Pm"], "frac_coords": [[0.000, 0.000, 0.000], [0.743, 0.086, 0.342], [0.257, 0.572, 0.342], [0.253, 0.258, 0.000], [0.747, 0.742, 0.000], [0.743, 0.428, 0.658], [0.257, 0.914, 0.658], [0.500, 0.164, 0.673], [0.000, 0.332, 0.336], [0.500, 0.500, 0.000], [0.000, 0.668, 0.664], [0.500, 0.836, 0.327]]}

# 8
{"formula": "AcPm2Bi", "functional": "GGA-PBE", "state": "relaxed", "lattice": [[4.157, 0.000, 0.000], [0.000, 4.157, 0.000], [0.000, 0.000, 7.907]], "species": ["Ac", "Bi", "Pm", "Pm"], "frac_coords": [[0.500, 0.500, 0.500], [0.500, 0.500, 0.000], [0.000, 0.000, 0.789], [0.000, 0.000, 0.211]], "de_polymorph_ev_per_atom": 0.0000}

Number 1: formation enthalpy at 0 K -0.15 eV per atom, E_tot -4.7140 eV per atom. Number 2: formation enthalpy at 0 K -0.63 eV per atom, E_tot -4.9315 eV per atom. Number 3: formation enthalpy at 0 K -0.30 eV per atom, E_tot -4.7149 eV per atom. Number 4: formation enthalpy at 0 K -0.55 eV per atom, E_tot -4.9637 eV per atom. Number 5: formation enthalpy at 0 K -0.60 eV per atom, E_tot -5.5099 eV per atom. Number 6: formation enthalpy at 0 K -0.51 eV per atom, E_tot -4.1230 eV per atom. Number 7: formation enthalpy at 0 K -0.94 eV per atom, E_tot -5.2016 eV per atom. Number 8: formation enthalpy at 0 K -0.39 eV per atom, E_tot -4.7612 eV per atom.